[1]
This record from the Alexandria database describes crystalline Ba4Na2Au at its relaxed geometry. The functional is PBE.

Unit cell a=6.330 b=6.330 c=10.907 alpha=106.87 beta=106.87 gamma=90.00
Fractional coordinates of all 7 atoms:
Na  0.630  0.630  0.260
Na  0.370  0.370  0.740
Au  0.000  0.000  0.000
Ba  0.831  0.831  0.661
Ba  0.169  0.169  0.339
Ba  0.000  0.500  0.000
Ba  0.500  0.000  0.000

Computed properties:
**ΔE_f**: -0.15 eV per atom
**Final energy**: -2.098 eV/atom
**Offset from the most stable computed form**: 49 meV/atom

***

[2]
This record from the Alexandria database describes crystalline PmDy2Y3Se6 at its relaxed geometry. The functional is PBE.

Unit cell a=7.107 b=7.107 c=7.111 alpha=99.54 beta=99.54 gamma=120.28
Fractional coordinates of all 12 atoms:
Pm  0.000  0.000  0.000
Dy  0.334  0.666  0.000
Dy  0.666  0.334  0.000
Y  0.161  0.839  0.500
Y  0.839  0.161  0.500
Y  0.500  0.500  0.500
Se  0.916  0.574  0.746
Se  0.743  0.743  0.250
Se  0.084  0.426  0.254
Se  0.574  0.916  0.746
Se  0.257  0.257  0.750
Se  0.426  0.084  0.254

Computed properties:
**E_form (uncorrected)**: -1773.2 meV per atom
**Final energy**: -6.294 eV/atom

***

[3]
This record from the Alexandria database describes crystalline K2SbBr at its relaxed geometry. The functional is PBE.

Unit cell a=5.998 b=5.998 c=5.998 alpha=60.00 beta=60.00 gamma=60.00
Each line ends with the local moment (μB).
Fractional coordinates of all 4 atoms:
Br  0.500  0.500  0.500  0.21
K  0.000  0.000  0.000  0.03
K  0.250  0.250  0.250  0.01
Sb  0.750  0.750  0.750  0.60

Computed properties:
**E_form (uncorrected)**: -371.5 meV per atom
**Final energy**: -2.369 eV/atom
**Offset from the most stable computed form**: 536 meV/atom

***

[4]
This record from the Alexandria database describes crystalline Zr3VN at its relaxed geometry. The functional is PBE.

Unit cell a=4.475 b=4.475 c=4.475 alpha=90.00 beta=90.00 gamma=90.00
Each line ends with the local moment (μB).
Fractional coordinates of all 5 atoms:
N  0.000  0.000  0.000  0.01
Zr  0.000  0.500  0.000  -0.09
Zr  0.000  0.000  0.500  -0.09
Zr  0.500  0.000  0.000  -0.09
V  0.500  0.500  0.500  1.09

Computed properties:
**E_form (uncorrected)**: -554.4 meV per atom
**Final energy**: -9.172 eV/atom
**Offset from the most stable computed form**: 0 meV/atom

***

[5]
This record from the Alexandria database describes crystalline Sn2GePb2 at its relaxed geometry. The functional is PBE.

Unit cell a=8.402 b=8.402 c=4.215 alpha=90.00 beta=90.00 gamma=90.00
Fractional coordinates of all 10 atoms:
Pb  0.338  0.838  0.000
Pb  0.838  0.662  0.000
Pb  0.662  0.162  0.000
Pb  0.162  0.338  0.000
Ge  0.000  0.000  0.000
Ge  0.500  0.500  0.000
Sn  0.134  0.634  0.500
Sn  0.634  0.866  0.500
Sn  0.866  0.366  0.500
Sn  0.366  0.134  0.500

Computed properties:
**ΔE_f**: 0.29 eV per atom
**Final energy**: -3.720 eV/atom
**Offset from the most stable computed form**: 117 meV/atom

***

[6]
This record from the Alexandria database describes crystalline YReRh2 at its relaxed geometry. The functional is PBE.

Unit cell a=2.905 b=3.922 c=6.115 alpha=90.00 beta=90.00 gamma=90.00
Fractional coordinates of all 4 atoms:
Re  0.500  0.500  0.810
Rh  0.000  0.000  0.976
Rh  0.500  0.500  0.232
Y  0.000  0.000  0.482

Computed properties:
**ΔE_f**: -0.04 eV per atom
**Final energy**: -8.444 eV/atom
**Offset from the most stable computed form**: 131 meV/atom

***

[7]
This record from the Alexandria database describes crystalline CrIr2Pb at its relaxed geometry. The functional is PBE.

Unit cell a=4.796 b=4.796 c=4.796 alpha=128.98 beta=128.99 gamma=75.03
Each line ends with the local moment (μB).
Fractional coordinates of all 4 atoms:
Cr  0.250  0.750  0.500  2.49
Ir  0.000  0.000  0.000  -0.11
Ir  0.500  0.500  0.000  -0.11
Pb  0.750  0.250  0.500  -0.01

Computed properties:
**ΔE_f**: 0.26 eV per atom
**Final energy**: -7.501 eV/atom

***

[8]
This record from the Alexandria database describes crystalline AsRu2Au at its relaxed geometry. The functional is PBE.

Unit cell a=2.894 b=2.894 c=8.668 alpha=90.00 beta=90.00 gamma=118.69
Fractional coordinates of all 4 atoms:
Ru  0.000  0.000  0.032
Ru  0.000  0.000  0.468
As  0.500  0.500  0.250
Au  0.500  0.500  0.750

Computed properties:
**ΔE_f**: 0.37 eV per atom
**Final energy**: -6.248 eV/atom

***

> Which formula does entry 5 have?

Sn2GePb2

***

Please write out number 4 again, unchanged.
This record from the Alexandria database describes crystalline Zr3VN at its relaxed geometry. The functional is PBE.

Unit cell a=4.475 b=4.475 c=4.475 alpha=90.00 beta=90.00 gamma=90.00
Each line ends with the local moment (μB).
Fractional coordinates of all 5 atoms:
N  0.000  0.000  0.000  0.01
Zr  0.000  0.500  0.000  -0.09
Zr  0.000  0.000  0.500  -0.09
Zr  0.500  0.000  0.000  -0.09
V  0.500  0.500  0.500  1.09

Computed properties:
**E_form (uncorrected)**: -554.4 meV per atom
**Final energy**: -9.172 eV/atom
**Offset from the most stable computed form**: 0 meV/atom

***

> Number 7 is which compound?

CrIr2Pb